Entry 1:
Density functional theory data (PBE-GGA) for crystalline CeErTm at its relaxed geometry.

Computed properties:
- SG: I4mm
- E above lowest polymorph: 13 meV per atom
- Calculated formation energy: 72 meV/atom

Cell: 3.491 3.491 7.811 Å, 102.91 102.91 90.00°
Fractional positions:
Er 0.335 0.335 0.670
Tm 0.665 0.665 0.329
Ce 0.000 0.000 0.000

---

Entry 2:
Density functional theory data (PBE-GGA) for crystalline Sr3AgP2O8 at its relaxed geometry.

Computed properties:
- SG: P-3m1
- Uncorrected formation energy: -34.2 eV per formula unit

Cell: 5.434 5.434 8.952 Å, 90.00 90.00 120.00°
Fractional positions:
Ag 0.000 0.000 0.500
O 0.667 0.333 0.006
P 0.667 0.333 0.833
O 0.822 0.645 0.774
Sr 0.000 0.000 0.000
O 0.178 0.822 0.226
O 0.333 0.667 0.994
O 0.178 0.355 0.226
O 0.645 0.822 0.226
O 0.355 0.178 0.774
Sr 0.667 0.333 0.270
O 0.822 0.178 0.774
P 0.333 0.667 0.167
Sr 0.333 0.667 0.730

---

Entry 3:
Density functional theory data (PBE-GGA) for crystalline Er2PaGa6 at its relaxed geometry.

Computed properties:
- SG: P6/mmm
- Calculated formation energy: -500 meV/atom

Cell: 3.627 7.595 7.595 Å, 120.00 90.00 90.00°
Fractional positions:
Ga 0.500 0.000 0.666
Pa 0.000 0.000 0.000
Ga 0.500 0.666 0.000
Er 0.000 0.667 0.333
Ga 0.500 0.666 0.666
Ga 0.500 0.334 0.000
Ga 0.500 0.000 0.334
Er 0.000 0.333 0.667
Ga 0.500 0.334 0.334

---

Entry 4:
Density functional theory data (PBE-GGA) for crystalline K2CdAgAu at its relaxed geometry.

Computed properties:
- SG: P4/mmm
- Calculated formation energy: 13 meV/atom

Cell: 6.222 6.222 5.361 Å, 90.00 90.00 90.00°
Fractional positions:
Ag 0.500 0.500 0.500
K 0.500 0.000 0.000
Cd 0.000 0.000 0.500
K 0.000 0.500 0.000
Au 0.000 0.000 0.000

---

Entry 5:
Density functional theory data (PBE-GGA) for crystalline Nd2Sm2Ho5 at its relaxed geometry.

Computed properties:
- SG: C2/m
- E above lowest polymorph: 32 meV per atom
- Calculated formation energy: 239 meV/atom

Cell: 3.499 8.287 12.566 Å, 120.87 98.00 90.00°
Fractional positions:
Ho 0.000 0.000 0.000
Ho 0.901 0.540 0.801
Nd 0.815 0.776 0.631
Ho 0.310 0.145 0.619
Ho 0.099 0.460 0.199
Nd 0.185 0.224 0.369
Sm 0.454 0.262 0.907
Sm 0.546 0.738 0.093
Ho 0.690 0.855 0.381

---

Entry 6:
Density functional theory data (PBE-GGA) for crystalline TlPOs2 at its relaxed geometry.

Computed properties:
- SG: P4mm
- E above lowest polymorph: 20 meV per atom
- Calculated formation energy: 413 meV/atom

Cell: 2.846 2.846 9.135 Å, 90.00 90.00 90.00°
Fractional positions:
P 0.000 0.000 0.414
Os 0.000 0.000 0.052
Os 0.500 0.500 0.248
Tl 0.500 0.500 0.786

---

Which formula does entry 5 have?
Nd2Sm2Ho5